## K3ZnNi2F9 (GGA+U)

Data for an optimized crystal structure of K3ZnNi2F9.

Summary:
* calculated density: 3.82 g/cm3
* DFT total energy: -4.276 eV/atom

a = 5.7782 Å, b = 5.7782 Å, c = 7.0761 Å
α = 90.00°, β = 90.00°, γ = 120.00°
Space group P-3m1 (No. 164)
Unique sites:
K1 0.0000 0.0000 0.0000
K2 0.3333 0.6667 0.6673
Zn1 0.0000 0.0000 0.5000
Ni1 0.3333 0.6667 0.1654
F1 0.0000 0.5000 0.0000
F2 0.1679 0.3358 0.3317